# 1
VASP calculation (PBE) on a geometry-optimized MnTe2Pb structure.

Structure (POSCAR):
```
MnTe2Pb
1.0
5.147 0.000 0.000
0.000 5.155 0.000
0.000 0.000 7.899
Mn Te Pb
2 4 2
Direct
0.000 0.000 0.000
0.500 0.500 0.000
0.000 0.500 0.206
0.000 0.500 0.794
0.500 0.000 0.206
0.500 0.000 0.794
0.000 0.000 0.500
0.500 0.500 0.500
```

Computed properties:
The symmetry is Cmmm (65). The magnetic moment is 0.992 μB/atom. The density of states at the Fermi level comes out at 0.72 states/eV/atom. The calculation puts the mass density at 8.20 Mg/m³. The value obtained for the uncorrected formation energy is 33 kJ/mol of formula units.

---

# 2
VASP calculation (PBE) on a geometry-optimized PrAl3Ag4 structure.

Structure (POSCAR):
```
PrAl3Ag4
1.0
4.387 0.000 0.000
0.000 4.387 0.000
0.000 0.000 8.537
Pr Al Ag
1 3 4
Direct
0.000 0.000 0.000
0.000 0.000 0.500
0.500 0.500 0.149
0.500 0.500 0.851
0.000 0.500 0.322
0.000 0.500 0.678
0.500 0.000 0.322
0.500 0.000 0.678
```

Computed properties:
The symmetry is P4/mmm (123). The magnetic moment is 0.000 μB/atom. The density of states at the Fermi level comes out at 0.67 states/eV/atom. The calculation puts the mass density at 6.60 Mg/m³. The calculation puts the raw total energy at -28.87 eV for the cell shown.

---

# 3
VASP calculation (PBE) on a geometry-optimized Bi2OsPt2 structure.

Structure (POSCAR):
```
Bi2OsPt2
1.0
4.462 0.000 0.000
0.000 4.462 0.000
0.000 0.000 11.804
Bi Os Pt
4 2 4
Direct
0.000 0.500 0.250
0.000 0.500 0.750
0.500 0.000 0.250
0.500 0.000 0.750
0.000 0.000 0.000
0.500 0.500 0.500
0.000 0.000 0.393
0.000 0.000 0.607
0.500 0.500 0.107
0.500 0.500 0.893
```

Computed properties:
The symmetry is I4/mmm (139). The magnetic moment is 0.506 μB/atom. The density of states at the Fermi level comes out at 0.91 states/eV/atom. As for the polymorph energy (0 for the lowest one): 604 meV per atom. The calculation puts the mass density at 14.11 Mg/m³.

---

# 4
VASP calculation (PBE) on a geometry-optimized Tb5Sc4Si4 structure.

Structure (POSCAR):
```
Tb5Sc4Si4
1.0
-6.013 6.013 2.112
6.013 -6.013 2.112
6.013 6.013 -2.112
Tb Sc Si
5 4 4
Direct
0.000 0.000 0.000
0.299 0.375 0.673
0.375 0.701 0.076
0.625 0.299 0.924
0.701 0.625 0.327
0.102 0.590 0.692
0.410 0.102 0.512
0.590 0.898 0.488
0.898 0.410 0.308
0.069 0.244 0.313
0.244 0.931 0.176
0.756 0.069 0.824
0.931 0.756 0.687
```

Computed properties:
The symmetry is I4/m (87). The magnetic moment is 0.135 μB/atom. The density of states at the Fermi level comes out at 1.23 states/eV/atom. The calculation puts the mass density at 5.91 Mg/m³. The value obtained for the uncorrected formation energy is -670 kJ/mol of formula units.

---

# 5
VASP calculation (PBE) on a geometry-optimized NdTm2MgAu4 structure.

Structure (POSCAR):
```
NdTm2MgAu4
1.0
2.477 1.430 8.444
-2.477 1.430 8.444
0.000 -2.861 8.444
Nd Tm Mg Au
1 2 1 4
Direct
0.000 0.000 0.000
0.242 0.242 0.242
0.758 0.758 0.758
0.500 0.500 0.500
0.124 0.124 0.124
0.387 0.387 0.387
0.613 0.613 0.613
0.876 0.876 0.876
```

Computed properties:
The symmetry is R-3m (166). The magnetic moment is 0.000 μB/atom. The density of states at the Fermi level comes out at 0.72 states/eV/atom. The calculation puts the mass density at 11.97 Mg/m³. The calculation puts the raw total energy at -34.69 eV for the cell shown.

---

# 6
VASP calculation (PBE) on a geometry-optimized Ba2ZnTcN4 structure.

Structure (POSCAR):
```
Ba2ZnTcN4
1.0
0.000 5.861 10.008
2.535 0.000 10.008
2.535 5.861 0.000
Ba Zn Tc N
4 2 2 8
Direct
0.050 0.050 0.700
0.300 0.300 0.950
0.700 0.700 0.050
0.950 0.950 0.300
0.125 0.125 0.125
0.875 0.875 0.875
0.375 0.375 0.375
0.625 0.625 0.625
0.004 0.647 0.556
0.294 0.556 0.647
0.353 0.996 0.706
0.444 0.706 0.996
0.556 0.294 0.004
0.647 0.004 0.294
0.706 0.444 0.353
0.996 0.353 0.444
```

Computed properties:
The symmetry is Fddd (70). The magnetic moment is 0.000 μB/atom. The density of states at the Fermi level comes out at 0.18 states/eV/atom. The calculation puts the mass density at 5.52 Mg/m³. The value obtained for the uncorrected formation energy is -192 kJ/mol of formula units.

---

# 7
VASP calculation (PBE) on a geometry-optimized MoPd2Au2 structure.

Structure (POSCAR):
```
MoPd2Au2
1.0
2.832 0.000 0.000
-1.416 2.452 0.000
0.000 0.000 11.906
Mo Pd Au
1 2 2
Direct
0.000 0.000 0.000
0.333 0.667 0.185
0.667 0.333 0.815
0.333 0.667 0.610
0.667 0.333 0.390
```

Computed properties:
The symmetry is P-3m1 (164). The magnetic moment is 0.000 μB/atom. The density of states at the Fermi level comes out at 0.77 states/eV/atom. As for the polymorph energy (0 for the lowest one): 0 meV per atom. The calculation puts the mass density at 14.11 Mg/m³.

---

# 8
VASP calculation (PBE) on a geometry-optimized NdSn4Ir4 structure.

Structure (POSCAR):
```
NdSn4Ir4
1.0
6.849 0.000 0.000
0.000 6.849 0.000
0.000 0.000 8.354
Nd Sn Ir
2 8 8
Direct
0.250 0.750 0.250
0.750 0.250 0.750
0.003 0.750 0.618
0.250 0.503 0.882
0.250 0.997 0.882
0.497 0.750 0.618
0.503 0.250 0.382
0.750 0.003 0.118
0.750 0.497 0.118
0.997 0.250 0.382
0.049 0.250 0.066
0.250 0.049 0.566
0.250 0.451 0.566
0.451 0.250 0.066
0.549 0.750 0.934
0.750 0.549 0.434
0.750 0.951 0.434
0.951 0.750 0.934
```

Computed properties:
The symmetry is P4_2/nmc (137). The magnetic moment is 0.000 μB/atom. The density of states at the Fermi level comes out at 0.45 states/eV/atom. The calculation puts the mass density at 11.76 Mg/m³. The calculation puts the raw total energy at -116.05 eV for the cell shown.

---

# 9
VASP calculation (PBE) on a geometry-optimized BaTl2In structure.

Structure (POSCAR):
```
BaTl2In
1.0
4.079 0.000 0.000
0.000 4.079 0.000
0.000 0.000 7.927
Ba Tl In
1 2 1
Direct
0.000 0.000 0.000
0.500 0.500 0.291
0.500 0.500 0.709
0.000 0.000 0.500
```

Computed properties:
The symmetry is P4/mmm (123). The magnetic moment is 0.000 μB/atom. The density of states at the Fermi level comes out at 0.43 states/eV/atom. The calculation puts the mass density at 8.32 Mg/m³. The calculation puts the raw total energy at -10.36 eV for the cell shown.

---

# 10
VASP calculation (PBE) on a geometry-optimized LaIn2Sn2 structure.

Structure (POSCAR):
```
LaIn2Sn2
1.0
2.336 -12.704 0.000
2.336 12.704 0.000
0.000 0.000 4.649
La In Sn
2 4 4
Direct
0.149 0.851 0.750
0.851 0.149 0.250
0.046 0.954 0.250
0.454 0.546 0.250
0.546 0.454 0.750
0.954 0.046 0.750
0.250 0.750 0.250
0.355 0.645 0.750
0.645 0.355 0.250
0.750 0.250 0.750
```

Computed properties:
The symmetry is Cmcm (63). The magnetic moment is 0.000 μB/atom. The density of states at the Fermi level comes out at 0.50 states/eV/atom. As for the polymorph energy (0 for the lowest one): 0 meV per atom. The calculation puts the mass density at 7.29 Mg/m³.

---

# 11
VASP calculation (PBE) on a geometry-optimized SmGe2Pd4 structure.

Structure (POSCAR):
```
SmGe2Pd4
1.0
17.306 0.000 0.000
0.000 4.264 0.000
0.000 0.000 6.734
Sm Ge Pd
4 8 16
Direct
0.140 0.250 0.023
0.360 0.750 0.523
0.640 0.250 0.477
0.860 0.750 0.977
0.042 0.750 0.263
0.217 0.250 0.545
0.283 0.750 0.045
0.458 0.250 0.763
0.542 0.750 0.237
0.717 0.250 0.955
0.783 0.750 0.455
0.958 0.250 0.737
0.027 0.750 0.857
0.072 0.250 0.504
0.187 0.750 0.332
0.198 0.750 0.746
0.302 0.250 0.246
0.313 0.250 0.832
0.428 0.750 0.004
0.473 0.250 0.357
0.527 0.750 0.643
0.572 0.250 0.996
0.687 0.750 0.168
0.698 0.750 0.754
0.802 0.250 0.254
0.813 0.250 0.668
0.928 0.750 0.496
0.973 0.250 0.143
```

Computed properties:
The symmetry is Pnma (62). The magnetic moment is 0.000 μB/atom. The density of states at the Fermi level comes out at 0.51 states/eV/atom. As for the polymorph energy (0 for the lowest one): 50 meV per atom. The calculation puts the mass density at 9.64 Mg/m³.

---

# 12
VASP calculation (PBE) on a geometry-optimized Pr2TlO structure.

Structure (POSCAR):
```
Pr2TlO
1.0
3.767 0.000 0.000
-1.883 3.262 0.000
0.000 0.000 23.927
Pr Tl O
6 3 3
Direct
0.000 0.000 0.224
0.000 0.000 0.776
0.333 0.667 0.443
0.333 0.667 0.891
0.667 0.333 0.109
0.667 0.333 0.557
0.000 0.000 0.000
0.333 0.667 0.667
0.667 0.333 0.333
0.000 0.000 0.500
0.333 0.667 0.167
0.667 0.333 0.833
```

Computed properties:
The symmetry is R-3m (166). The magnetic moment is 0.000 μB/atom. The density of states at the Fermi level comes out at 0.35 states/eV/atom. As for the polymorph energy (0 for the lowest one): 53 meV per atom. The calculation puts the mass density at 8.51 Mg/m³. The value obtained for the uncorrected formation energy is -572 kJ/mol of formula units.